1) KCd6Hg2: optimized geometry, PBE-GGA.

The crystal system is monoclinic.

It has space group C2/m (No. 12), with a = 14.703 Å, b = 7.960 Å, c = 4.657 Å, α = 90.00°, β = 108.02° and γ = 90.00°. The asymmetric unit holds K at (0.000, 0.000, 0.000), Cd at (0.000, 0.320, 0.500), Cd at (0.192, 0.192, 0.694) and Hg at (0.120, 0.500, 0.123).

2) KCd6Hg2: optimized geometry, PBE-GGA.

The crystal system is tetragonal.

It has space group P4/mmm (No. 123), with a = 4.658 Å, b = 4.658 Å, c = 10.867 Å, α = 90.00°, β = 90.00° and γ = 90.00°. The asymmetric unit holds K at (0.000, 0.000, 0.000), Cd at (0.000, 0.000, 0.500), Cd at (0.000, 0.500, 0.306), Cd at (0.500, 0.500, 0.500) and Hg at (0.500, 0.500, 0.134).

Least stable = 1)

1) KCd4Hg: optimized geometry, PBE-GGA.

The crystal system is cubic.

It has space group F-43m (No. 216), with a = 8.731 Å, b = 8.731 Å, c = 8.731 Å, α = 90.00°, β = 90.00° and γ = 90.00°. The asymmetric unit holds K at (0.000, 0.000, 0.000), Cd at (0.125, 0.125, 0.375) and Hg at (0.250, 0.250, 0.750).

2) KCd4Hg: optimized geometry, PBE-GGA.

The crystal system is orthorhombic.

It has space group Cmcm (No. 63), with a = 4.758 Å, b = 17.960 Å, c = 7.800 Å, α = 90.00°, β = 90.00° and γ = 90.00°. The asymmetric unit holds K at (0.000, 0.122, 0.250), Cd at (0.000, 0.069, 0.750), Cd at (0.000, 0.332, 0.060), Cd at (0.000, 0.500, 0.000) and Hg at (0.000, 0.239, 0.750).

Least stable = 1)